Here is a relaxed structure of Mn2BeAu from Alexandria. Energies are from GGA-PBE.

Structure (POSCAR):
```
Mn2BeAu
1.0
2.936 0.000 0.000
0.000 2.936 0.000
0.000 0.000 5.645
Au Be Mn
1 1 2
direct
0.500 0.500 0.250
0.500 0.500 0.750
0.000 0.000 0.569
0.000 0.000 0.931
```

Values from the calculation:
As for the formation energy: 0.228 eV per atom.


Here is a relaxed structure of MnBeAu from Alexandria. Energies are from GGA-PBE.

Structure (POSCAR):
```
MnBeAu
1.0
-2.788 -2.198 1.644
0.362 -3.895 0.061
0.702 -1.846 3.377
Be Au Mn
1 1 1
direct
0.750 0.750 0.750
0.500 0.500 0.500
0.000 0.000 0.000
```

Values from the calculation:
As for the formation energy: 0.095 eV per atom. The excess energy over the best structure of this formula in the dataset comes out at 86.6 meV per atom.


Here is a relaxed structure of MnBeAu from Alexandria. Energies are from GGA-PBE.

Structure (POSCAR):
```
MnBeAu
1.0
-2.951 -1.426 4.099
0.651 -3.224 4.090
1.912 3.845 -3.017
Be Mn Au
1 1 1
direct
0.328 0.328 0.000
0.688 0.688 0.000
0.984 0.984 0.000
```

Values from the calculation:
As for the formation energy: 0.009 eV per atom. The excess energy over the best structure of this formula in the dataset comes out at 0.0 meV per atom.


Here is a relaxed structure of MnBeAu from Alexandria. Energies are from GGA-PBE.

Structure (POSCAR):
```
MnBeAu
1.0
4.070 0.000 0.000
-2.035 3.525 0.000
0.000 0.000 2.929
Mn Be Au
1 1 1
direct
0.333 0.667 0.666
0.667 0.333 0.167
0.000 0.000 0.166
```

Values from the calculation:
As for the formation energy: 0.013 eV per atom. The excess energy over the best structure of this formula in the dataset comes out at 4.5 meV per atom.


Here is a relaxed structure of Mn2BeAu from Alexandria. Energies are from GGA-PBE.

Structure (POSCAR):
```
Mn2BeAu
1.0
8.223 0.006 0.004
7.751 2.747 0.004
7.751 1.336 2.400
Be Au Mn
1 1 2
direct
0.750 0.750 0.750
0.250 0.250 0.250
0.012 0.012 0.012
0.488 0.488 0.488
```

Values from the calculation:
As for the formation energy: 0.252 eV per atom.


Here is a relaxed structure of MnBe2Au8 from Alexandria. Energies are from GGA-PBE.

Structure (POSCAR):
```
MnBe2Au8
1.0
0.330 -1.727 -4.837
-3.959 -3.330 2.230
-2.786 6.519 -0.680
Au Be Mn
8 2 1
direct
0.706 0.006 0.140
0.234 0.816 0.269
0.949 0.002 0.549
0.874 0.479 0.535
0.832 0.344 0.928
0.475 0.813 0.679
0.309 0.339 0.282
0.350 0.474 0.890
0.464 0.217 0.592
0.718 0.602 0.226
0.090 0.908 0.909
```

Values from the calculation:
As for the formation energy: -0.050 eV per atom.


Here is a relaxed structure of MnBeAu from Alexandria. Energies are from GGA-PBE.

Structure (POSCAR):
```
MnBeAu
1.0
4.106 0.000 0.000
2.053 3.556 0.000
2.053 1.185 3.353
Be Au Mn
1 1 1
direct
0.500 0.500 0.500
0.000 0.000 0.000
0.750 0.750 0.750
```

Values from the calculation:
As for the formation energy: 0.505 eV per atom. The excess energy over the best structure of this formula in the dataset comes out at 496.4 meV per atom.


Here is a relaxed structure of Mn2BeAu8 from Alexandria. Energies are from GGA-PBE.

Structure (POSCAR):
```
Mn2BeAu8
1.0
3.663 0.000 -1.042
-0.326 6.511 -1.146
0.253 -0.174 7.850
Au Mn Be
8 2 1
direct
0.590 0.489 0.181
0.964 0.201 0.929
0.036 0.799 0.071
0.323 0.072 0.645
0.677 0.928 0.355
0.154 0.236 0.307
0.846 0.764 0.693
0.410 0.511 0.819
0.783 0.347 0.566
0.217 0.653 0.434
0.500 0.000 0.000
```

Values from the calculation:
As for the formation energy: -0.016 eV per atom.


Question: The lowest formation energy belongs to which entry?
Answer: MnBe2Au8